(1)
Entry from the Alexandria database: TbPr2Zn2In2 after structural relaxation (PBE).

Summary:
- magnetic moment (μB per cell) = 0.00
- D(E_F) (states/eV per atom) = 0.60
- energy relative to the elements (eV per formula unit) = -2.12

The structure in POSCAR format:
```
TbPr2Zn2In2
1.0
2.370 1.368 9.465
-2.370 1.368 9.465
0.000 -2.737 9.465
Tb Pr Zn In
1 2 2 2
Direct
0.000 0.000 0.000
0.127 0.127 0.127
0.873 0.873 0.873
0.391 0.391 0.391
0.609 0.609 0.609
0.268 0.268 0.268
0.732 0.732 0.732
```

---

(2)
Entry from the Alexandria database: CdPb3Cl8 after structural relaxation (PBE).

Summary:
- magnetic moment (μB per cell) = 0.00
- D(E_F) (states/eV per atom) = 0.00
- uncorrected formation energy (eV per atom) = -1.122

The structure in POSCAR format:
```
CdPb3Cl8
1.0
4.005 -6.334 0.000
4.005 6.334 0.000
0.000 0.000 8.306
Cd Pb Cl
1 3 8
Direct
0.000 0.000 0.000
0.000 0.000 0.500
0.000 0.500 0.245
0.500 0.000 0.755
0.211 0.789 0.000
0.216 0.253 0.231
0.231 0.769 0.500
0.253 0.216 0.769
0.747 0.784 0.769
0.769 0.231 0.500
0.784 0.747 0.231
0.789 0.211 0.000
```

---

(3)
Entry from the Alexandria database: InSnPd4 after structural relaxation (PBE).

Summary:
- magnetic moment (μB per cell) = 0.00
- D(E_F) (states/eV per atom) = 0.49
- energy relative to the elements (eV per formula unit) = -2.83
- E above lowest polymorph (meV/atom) = 0.0

The structure in POSCAR format:
```
InSnPd4
1.0
7.570 0.000 0.000
0.000 3.166 0.000
0.000 0.000 17.398
In Sn Pd
4 4 16
Direct
0.241 0.250 0.058
0.259 0.750 0.558
0.741 0.250 0.442
0.759 0.750 0.942
0.245 0.250 0.811
0.255 0.750 0.311
0.745 0.250 0.689
0.755 0.750 0.189
0.039 0.750 0.432
0.061 0.750 0.703
0.109 0.750 0.172
0.121 0.750 0.934
0.379 0.250 0.434
0.391 0.250 0.672
0.439 0.250 0.203
0.461 0.250 0.932
0.539 0.750 0.068
0.561 0.750 0.797
0.609 0.750 0.328
0.621 0.750 0.566
0.879 0.250 0.066
0.891 0.250 0.828
0.939 0.250 0.297
0.961 0.250 0.568
```